[1]
Entry from the Alexandria database: BeTcIr after structural relaxation (PBE).

abc: 5.050 4.005 7.438
angles: 90.00 90.00 90.00
Atoms (fractional coordinates):
Be  0.207  0.750  0.607
Tc  0.052  0.750  0.282
Be  0.293  0.250  0.107
Ir  0.691  0.750  0.562
Tc  0.448  0.250  0.782
Ir  0.191  0.750  0.938
Be  0.793  0.250  0.393
Ir  0.309  0.250  0.438
Ir  0.809  0.250  0.062
Tc  0.948  0.250  0.718
Tc  0.552  0.750  0.218
Be  0.707  0.750  0.893

Properties
ΔH_f (0 K) in eV per atom: -0.174
Crystal system: orthorhombic
Offset from the most stable computed form in eV per atom: 0.1928


[2]
Entry from the Alexandria database: La3TlH3 after structural relaxation (PBE).

abc: 6.978 6.978 8.863
angles: 66.82 66.82 60.00
Atoms (fractional coordinates):
La  0.438  0.102  0.692
H  0.207  0.869  0.389
Tl  0.333  0.333  0.000
Tl  0.667  0.667  0.000
H  0.131  0.465  0.611
La  0.768  0.438  0.692
La  0.232  0.562  0.308
La  0.102  0.768  0.692
H  0.465  0.793  0.611
H  0.793  0.131  0.611
H  0.535  0.207  0.389
H  0.869  0.535  0.389
La  0.898  0.232  0.308
La  0.562  0.898  0.308

Properties
Crystal system: trigonal
Offset from the most stable computed form in eV per atom: 0.0484


[3]
Entry from the Alexandria database: TaCr2Mo after structural relaxation (PBE).

abc: 4.217 2.730 5.102
angles: 80.08 90.00 90.00
Atoms (fractional coordinates):
Cr  0.000  0.493  0.496
Mo  0.500  0.250  0.250
Cr  0.000  0.007  0.004
Ta  0.500  0.750  0.750

Properties
ΔH_f (0 K) in eV per atom: 0.074
Crystal system: monoclinic
Offset from the most stable computed form in eV per atom: 0.0947


[4]
Entry from the Alexandria database: Zn2Cd2B after structural relaxation (PBE).

abc: 5.738 5.738 5.845
angles: 90.00 90.00 90.00
Atoms (fractional coordinates):
Zn  0.239  0.261  0.000
Cd  0.182  0.682  0.500
B  0.000  0.000  0.000
Zn  0.261  0.761  0.000
Zn  0.739  0.239  0.000
Zn  0.761  0.739  0.000
Cd  0.682  0.818  0.500
Cd  0.318  0.182  0.500
Cd  0.818  0.318  0.500
B  0.500  0.500  0.000

Properties
ΔH_f (0 K) in eV per atom: 0.374
Crystal system: tetragonal


[5]
Entry from the Alexandria database: ErH4Pd3 after structural relaxation (PBE).

abc: 5.459 5.459 5.459
angles: 90.00 90.00 90.00
Atoms (fractional coordinates):
H  0.250  0.250  0.750
Pd  0.500  0.250  0.000
Pd  0.500  0.750  0.000
Pd  0.000  0.500  0.250
Pd  0.000  0.500  0.750
Pd  0.250  0.000  0.500
H  0.750  0.750  0.250
Er  0.500  0.500  0.500
H  0.750  0.750  0.750
H  0.250  0.250  0.250
H  0.250  0.750  0.750
H  0.250  0.750  0.250
Pd  0.750  0.000  0.500
H  0.750  0.250  0.750
Er  0.000  0.000  0.000
H  0.750  0.250  0.250

Properties
Crystal system: cubic
Total energy in eV/cell: -73.67


[6]
Entry from the Alexandria database: RbAlBi after structural relaxation (PBE).

abc: 4.641 6.379 8.221
angles: 76.56 73.59 68.69
Atoms (fractional coordinates):
Al  0.130  0.278  0.461
Rb  0.441  0.276  0.843
Bi  0.788  0.137  0.286
Rb  0.559  0.724  0.157
Al  0.870  0.722  0.539
Bi  0.212  0.863  0.714

Properties
ΔH_f (0 K) in eV per atom: -0.170
Crystal system: monoclinic